Density functional theory data (GGA-PBE) for a relaxed MgTcP crystal.

Results
DOS(E_F) = 1.23 states/eV per cell
ΔE_f = -0.187 eV/atom
Calculated volume = 15.82 Å³/atom
E above lowest polymorph = 6.61 kcal/mol of atoms
Energy = -5.977 eV/atom

a = 4.0641 Å, b = 4.0641 Å, c = 4.0641 Å
α = 60.00°, β = 60.00°, γ = 60.00°
Atoms (fractional coordinates):
Mg1 0.0000 0.0000 0.0000
Tc1 0.5000 0.5000 0.5000
P1 0.2500 0.2500 0.2500


Density functional theory data (GGA-PBE) for a relaxed YSi2Os crystal.

Results
DOS(E_F) = 2.89 states/eV per cell
Calculated volume = 16.42 Å³/atom
Energy = -7.467 eV/atom
Uncorrected formation energy = -1.3 eV/f.u.

a = 3.0480 Å, b = 3.0480 Å, c = 7.0703 Å
α = 90.00°, β = 90.00°, γ = 90.00°
Atoms (fractional coordinates):
Y1 0.0000 0.0000 0.0000
Si1 0.5000 0.5000 0.2994
Si2 0.5000 0.5000 0.7006
Os1 0.0000 0.0000 0.5000


> The highest energy belongs to which entry?

MgTcP